Entry 1:
Entry from the Alexandria database: an optimized crystal structure of La8SiPt3Cl4 (PBE).

Output
Formation energy (no corrections), eV per atom: -1.386
V, Å³/atom: 28.943
Magnetic moment, μB/cell: 0.00

abc: 14.8882 8.5957 8.7755
angles: 90.00 124.44 90.00
Space group C2/m (No. 12)
Symmetry-distinct sites (fractional):
La: 0.0084 0.2475 0.2740 x8
La: 0.2385 0.0000 0.7160 x4
La: 0.2438 0.5000 0.7242 x4
Si: 0.0000 0.5000 0.5000 x2
Pt: 0.0000 0.0000 0.5000 x2
Pt: 0.2500 0.2500 0.5000 x4
Cl: 0.0000 0.0000 0.0000 x2
Cl: 0.0000 0.5000 0.0000 x2
Cl: 0.2500 0.2500 0.0000 x4

=====

Entry 2:
Entry from the Alexandria database: an optimized crystal structure of Ce2Er7Tm2 (PBE).

Output
V, Å³/atom: 31.318
Raw total energy, eV/atom: -4.59
Magnetic moment, μB/cell: 5.14

abc: 11.1971 11.2640 5.9522
angles: 90.00 113.39 90.00
Space group C2/m (No. 12)
Symmetry-distinct sites (fractional):
Ce: 0.2274 0.0000 0.0910 x4
Er: 0.0000 0.0000 0.5000 x2
Er: 0.0854 0.5000 0.3021 x4
Er: 0.1740 0.2388 0.6790 x8
Tm: 0.0000 0.2148 0.0000 x4

=====

Entry 3:
Entry from the Alexandria database: an optimized crystal structure of Ce4Pr3PuS8 (PBE).

Output
Formation energy (no corrections), eV per atom: -2.004
V, Å³/atom: 23.434
Magnetic moment, μB/cell: 20.60

abc: 8.0987 8.0987 19.8029
angles: 90.00 90.00 120.00
Space group R-3m (No. 166, hexagonal axes)
Symmetry-distinct sites (fractional):
Ce: 0.0000 0.0000 0.0000 x3
Ce: 0.0000 0.5000 0.0000 x9
Pr: 0.0000 0.5000 0.5000 x9
Pu: 0.0000 0.0000 0.5000 x3
S: 0.0000 0.0000 0.2522 x6
S: 0.0059 0.5030 0.2506 x18

=====

Entry 4:
Entry from the Alexandria database: an optimized crystal structure of BaLiAl3 (PBE).

Output
V, Å³/atom: 24.109
Relative energy among the computed polymorphs, eV/f.u.: 1.31
Magnetic moment, μB/cell: 0.00

abc: 4.9399 4.9399 4.9399
angles: 90.00 90.00 90.00
Space group Pm-3m (No. 221)
Symmetry-distinct sites (fractional):
Ba: 0.0000 0.0000 0.0000 x1
Li: 0.5000 0.5000 0.5000 x1
Al: 0.0000 0.5000 0.5000 x3

=====

Entry 5:
Entry from the Alexandria database: an optimized crystal structure of RbMg3Ag4Cl12 (PBE).

Output
Formation energy (no corrections), eV per atom: -1.169
V, Å³/atom: 27.544
Magnetic moment, μB/cell: 0.00

abc: 14.0316 14.0316 9.6924
angles: 90.00 90.00 120.00
Space group R32 (No. 155, hexagonal axes)
Symmetry-distinct sites (fractional):
Rb: 0.0000 0.0000 0.0000 x3
Mg: 0.0000 0.5861 0.0000 x9
Ag: 0.0000 0.0000 0.5000 x3
Ag: 0.0000 0.3828 0.5000 x9
Cl: 0.0000 0.5844 0.5000 x9
Cl: 0.0000 0.8205 0.5000 x9
Cl: 0.0719 0.2149 0.2050 x18

=====

Entry 6:
Entry from the Alexandria database: an optimized crystal structure of NdGa3CoRh (PBE).

Output
V, Å³/atom: 18.973
Raw total energy, eV/atom: -5.13
Magnetic moment, μB/cell: 0.00

abc: 7.5224 10.6928 5.6611
angles: 90.00 90.00 90.00
Space group Cmcm (No. 63)
Symmetry-distinct sites (fractional):
Nd: 0.0000 0.2177 0.2500 x4
Ga: 0.0000 0.3191 0.7500 x4
Ga: 0.2476 0.0000 0.0000 x8
Co: 0.0000 0.4664 0.2500 x4
Rh: 0.0000 0.0903 0.7500 x4

=====

Entry 7:
Entry from the Alexandria database: an optimized crystal structure of Cs2SrZnP2 (PBE).

Output
V, Å³/atom: 33.325
Raw total energy, eV/atom: -3.08
Magnetic moment, μB/cell: 0.00

abc: 7.0172 16.2619 7.0089
angles: 90.00 90.00 90.00
Space group Ibam (No. 72)
Symmetry-distinct sites (fractional):
Cs: 0.2156 0.1784 0.0000 x8
Sr: 0.0000 0.5000 0.2500 x4
Zn: 0.0000 0.0000 0.2500 x4
P: 0.2059 0.0782 0.5000 x8

=====

Entry 8:
Entry from the Alexandria database: an optimized crystal structure of Pm6Sm2Tm3Tl (PBE).

Output
V, Å³/atom: 32.016
Raw total energy, eV/atom: -4.50
Magnetic moment, μB/cell: 0.00

abc: 6.1715 10.7067 11.8104
angles: 90.00 100.07 90.00
Space group C2/m (No. 12)
Symmetry-distinct sites (fractional):
Pm: 0.2431 0.0000 0.2470 x4
Pm: 0.2477 0.1637 0.7521 x8
Sm: 0.0000 0.3337 0.5000 x4
Tm: 0.0000 0.1671 0.0000 x4
Tm: 0.0000 0.5000 0.0000 x2
Tl: 0.0000 0.0000 0.5000 x2